Computed, not measured: WC6O6 at its PBEsol-relaxed geometry at the meta-GGA SCAN level of DFT.

Results
Calculated total energy, eV for the cell shown: -705.78
Size of the total moment, μB/f.u.: 0.00
Crystal system: orthorhombic

Lattice parameters (Å, degrees): 12.1877 11.4915 6.5331 90.00 90.00 90.00
Fractional coordinates of all 52 atoms:
W: 0.1273 0.2500 0.0556
W: 0.3727 0.7500 0.5556
W: 0.6273 0.2500 0.4444
W: 0.8727 0.7500 0.9444
C: 0.0274 0.1245 0.1734
C: 0.0274 0.3755 0.1734
C: 0.0376 0.2500 0.7923
C: 0.2180 0.2500 0.3171
C: 0.2261 0.1234 0.9368
C: 0.2261 0.3766 0.9368
C: 0.2739 0.6234 0.4368
C: 0.2739 0.8766 0.4368
C: 0.2820 0.7500 0.8171
C: 0.4624 0.7500 0.2923
C: 0.4726 0.6245 0.6734
C: 0.4726 0.8755 0.6734
C: 0.5274 0.1245 0.3266
C: 0.5274 0.3755 0.3266
C: 0.5376 0.2500 0.7077
C: 0.7180 0.2500 0.1829
C: 0.7261 0.1234 0.5632
C: 0.7261 0.3766 0.5632
C: 0.7739 0.6234 0.0632
C: 0.7739 0.8766 0.0632
C: 0.7820 0.7500 0.6829
C: 0.9624 0.7500 0.2077
C: 0.9726 0.6245 0.8266
C: 0.9726 0.8755 0.8266
O: 0.0126 0.7500 0.3584
O: 0.0298 0.5532 0.7609
O: 0.0298 0.9468 0.7609
O: 0.2187 0.5511 0.3692
O: 0.2187 0.9489 0.3692
O: 0.2301 0.7500 0.9660
O: 0.2699 0.2500 0.4660
O: 0.2813 0.0511 0.8692
O: 0.2813 0.4489 0.8692
O: 0.4702 0.0532 0.2609
O: 0.4702 0.4468 0.2609
O: 0.4874 0.2500 0.8584
O: 0.5126 0.7500 0.1416
O: 0.5298 0.5532 0.7391
O: 0.5298 0.9468 0.7391
O: 0.7187 0.5511 0.1308
O: 0.7187 0.9489 0.1308
O: 0.7301 0.7500 0.5340
O: 0.7699 0.2500 0.0340
O: 0.7813 0.0511 0.6308
O: 0.7813 0.4489 0.6308
O: 0.9702 0.0532 0.2391
O: 0.9702 0.4468 0.2391
O: 0.9874 0.2500 0.6416

=====

Computed, not measured: Mg3Sc at its PBEsol-relaxed geometry at the meta-GGA SCAN level of DFT.

Results
Calculated total energy, eV for the cell shown: -29.18
Size of the total moment, μB/f.u.: 0.45
Formation energy from the elements, meV/atom: -6
Crystal system: monoclinic

Lattice parameters (Å, degrees): 3.0778 4.9182 6.1021 90.00 102.18 90.00
Fractional coordinates of all 4 atoms:
Mg: 0.0000 0.0000 0.0000
Mg: 0.1821 0.5000 0.7508
Mg: 0.8179 0.5000 0.2492
Sc: 0.5000 0.0000 0.5000

=====

Computed, not measured: TaSiP at its PBEsol-relaxed geometry at the meta-GGA SCAN level of DFT.

Results
Calculated total energy, eV for the cell shown: -87.26
Size of the total moment, μB/f.u.: 0.00
Crystal system: trigonal

Lattice parameters (Å, degrees): 3.0598 3.0598 5.5871 90.00 90.00 120.00
Fractional coordinates of all 3 atoms:
Ta: 0.0000 0.0000 0.0000
Si: 0.6667 0.3333 0.3650
P: 0.3333 0.6667 0.6805

=====

Computed, not measured: ZrGa3O at its PBEsol-relaxed geometry at the meta-GGA SCAN level of DFT.

Results
Calculated total energy, eV for the cell shown: -80.50
Size of the total moment, μB/f.u.: 2.20
Crystal system: cubic

Lattice parameters (Å, degrees): 5.2063 5.2063 5.2063 90.00 90.00 90.00
Fractional coordinates of all 5 atoms:
Zr: 0.0000 0.0000 0.0000
Ga: 0.0000 0.0000 0.5000
Ga: 0.0000 0.5000 0.0000
Ga: 0.5000 0.0000 0.0000
O: 0.5000 0.5000 0.5000

=====

Computed, not measured: KTc2Te at its PBEsol-relaxed geometry at the meta-GGA SCAN level of DFT.

Results
Calculated total energy, eV for the cell shown: -113.47
Size of the total moment, μB/f.u.: 0.87
Crystal system: monoclinic

Lattice parameters (Å, degrees): 5.4358 5.4358 6.0634 105.37 105.37 39.41
Fractional coordinates of all 4 atoms:
K: 0.0000 0.0000 0.0000
Tc: 0.2144 0.2144 0.5785
Tc: 0.7856 0.7856 0.4215
Te: 0.5000 0.5000 0.5000

=====

Computed, not measured: CaTlTe2Se at its PBEsol-relaxed geometry at the meta-GGA SCAN level of DFT.

Results
Calculated total energy, eV for the cell shown: -177.83
Size of the total moment, μB/f.u.: 2.77
Crystal system: tetragonal

Lattice parameters (Å, degrees): 5.7778 5.7778 5.3866 90.00 90.00 90.00
Fractional coordinates of all 5 atoms:
Ca: 0.0000 0.0000 0.0000
Tl: 0.5000 0.5000 0.5000
Te: 0.0000 0.5000 0.0000
Te: 0.5000 0.0000 0.0000
Se: 0.0000 0.0000 0.5000